# PrTh4N4

A relaxed PrTh4N4 crystal (PBE, Alexandria).

As for the raw formation energy: -1318 meV/atom. The spin magnetization comes out at 0.0 Bohr magnetons per cell. The calculation puts the final energy at -79.6 eV/f.u.

The space group is C2/m (No. 12) and the conventional cell measures 11.633, 5.163 and 8.219 Å, with angles of 90.00, 134.93 and 90.00 degrees. Symmetry generates all atoms from Pr at (0.000, 0.000, 0.000), Th at (0.108, 0.500, 0.417), Th at (0.191, 0.000, 0.800), N at (0.102, 0.000, 0.415) and N at (0.187, 0.500, 0.788).